A plane-wave DFT calculation with PBE-GGA was carried out for Nd4Er4Mg after structural relaxation.

Unit cell a=9.053 b=9.053 c=7.293 alpha=90.00 beta=90.00 gamma=102.98
Fractional coordinates of all 18 atoms:
Nd 0.890 0.110 0.750
Nd 0.000 0.500 0.250
Nd 0.889 0.110 0.250
Nd 0.110 0.890 0.250
Nd 0.111 0.890 0.750
Nd 0.000 0.500 0.750
Nd 0.500 0.000 0.250
Nd 0.500 0.000 0.750
Er 0.321 0.679 0.500
Er 0.679 0.321 0.500
Er 0.748 0.748 0.000
Er 0.321 0.679 0.000
Er 0.748 0.748 0.500
Er 0.679 0.321 0.000
Er 0.252 0.252 0.500
Er 0.252 0.252 0.000
Mg 0.500 0.500 0.250
Mg 0.500 0.500 0.750

Final energy ... -4.270 eV/atom

---

A plane-wave DFT calculation with PBE-GGA was carried out for Nd5ErMg3 after structural relaxation.

Unit cell a=7.046 b=9.601 c=9.600 alpha=120.00 beta=90.00 gamma=90.00
Fractional coordinates of all 18 atoms:
Mg 0.250 0.000 0.330
Mg 0.250 0.670 0.670
Mg 0.750 0.670 0.000
Mg 0.750 0.330 0.330
Mg 0.250 0.330 0.000
Mg 0.750 0.000 0.670
Er 0.500 0.000 0.000
Er 0.000 0.000 0.000
Nd 0.500 0.667 0.333
Nd 0.250 0.669 0.000
Nd 0.250 0.000 0.669
Nd 0.000 0.667 0.333
Nd 0.750 0.331 0.000
Nd 0.750 0.000 0.331
Nd 0.250 0.331 0.331
Nd 0.500 0.333 0.667
Nd 0.000 0.333 0.667
Nd 0.750 0.669 0.669

Final energy ... -3.692 eV/atom

---

A plane-wave DFT calculation with PBE-GGA was carried out for NdEr4Mg after structural relaxation.

Unit cell a=5.410 b=11.084 c=6.619 alpha=90.00 beta=114.12 gamma=90.00
Fractional coordinates of all 12 atoms:
Mg 0.347 0.192 0.694
Mg 0.653 0.692 0.306
Er 0.504 0.943 0.008
Er 0.020 0.704 0.041
Er 0.171 0.978 0.343
Er 0.980 0.204 0.959
Er 0.320 0.699 0.640
Er 0.496 0.443 0.992
Er 0.829 0.478 0.657
Er 0.680 0.199 0.360
Nd 0.178 0.418 0.356
Nd 0.822 0.918 0.644

Final energy ... -4.079 eV/atom

---

A plane-wave DFT calculation with PBE-GGA was carried out for Nd4Er3Mg after structural relaxation.

Unit cell a=3.634 b=3.634 c=19.434 alpha=90.00 beta=90.00 gamma=90.00
Fractional coordinates of all 8 atoms:
Er 0.500 0.500 0.500
Er 0.500 0.500 0.757
Er 0.500 0.500 0.243
Nd 0.000 0.000 0.372
Nd 0.000 0.000 0.628
Nd 0.000 0.000 0.885
Nd 0.000 0.000 0.115
Mg 0.500 0.500 0.000

Final energy ... -4.299 eV/atom

---

It is found that the ΔE_f values, taken in the order of the records, are 0.054 -0.005 0.023 -0.005 eV/atom.
It is found that the volume values, taken in the order of the records, are 582.4 562.4 362.2 256.7 Å³/cell.